Record 1
Compound: SmDyAgRh
Source: Alexandria via LeMat-Bulk
Functional: PBE
Structure: relaxed

Properties
The energy above the lowest structure with this stoichiometry comes out at 0.000 eV/atom. Its energy of formation is -0.551 eV/atom. Its uncorrected energy is -5.43 eV per atom.

POSCAR file:
```
SmDyAgRh
1.0
-3.113 -1.630 -0.448
1.411 -1.990 -2.568
1.904 -4.985 4.910
Dy Rh Sm Ag
1 1 1 1
Direct
0.000 0.000 0.377 Dy
0.500 0.500 0.598 Rh
0.000 0.000 0.836 Sm
0.500 0.500 0.118 Ag
```

Record 2
Compound: Ta2CoAs
Source: Alexandria via LeMat-Bulk
Functional: PBE
Structure: relaxed

Properties
Its energy of formation is -0.104 eV/atom. Its uncorrected energy is -8.97 eV per atom.

POSCAR file:
```
Ta2CoAs
1.0
4.536 0.001 -0.025
-1.062 4.410 -0.025
0.246 0.313 3.095
Co As Ta
1 1 2
Direct
0.000 0.500 0.500 Co
0.500 0.000 0.500 As
0.000 0.000 0.000 Ta
0.500 0.500 0.000 Ta
```

Record 3
Compound: LiGaAu3
Source: Alexandria via LeMat-Bulk
Functional: PBE
Structure: relaxed

Properties
The energy above the lowest structure with this stoichiometry comes out at 0.371 eV/atom. Its energy of formation is 0.018 eV/atom. Its uncorrected energy is -2.94 eV per atom.

POSCAR file:
```
LiGaAu3
1.0
4.924 0.000 0.000
0.000 4.924 0.000
0.000 0.000 4.924
Ga Li Au
1 1 3
Direct
0.000 0.000 0.000 Ga
0.500 0.500 0.500 Li
0.000 0.500 0.000 Au
0.000 0.000 0.500 Au
0.500 0.000 0.000 Au
```

Record 4
Compound: Ba4NiAu2
Source: Alexandria via LeMat-Bulk
Functional: PBE
Structure: relaxed

Properties
Its energy of formation is -0.193 eV/atom. Its uncorrected energy is -3.05 eV per atom.

POSCAR file:
```
Ba4NiAu2
1.0
-2.416 -5.034 -0.378
0.469 -0.641 5.540
-9.272 1.059 3.735
Au Ni Ba
2 1 4
Direct
0.863 0.863 0.274 Au
0.137 0.137 0.726 Au
0.000 0.000 0.000 Ni
0.314 0.314 0.373 Ba
0.500 0.000 0.000 Ba
0.686 0.686 0.627 Ba
0.000 0.500 0.000 Ba
```